# 1
A relaxed structure of Nd5Ho12Hg3. Source: Alexandria, functional PBE.

a b c (Å): 15.6896 15.6896 15.6896
angles (deg): 109.47 109.47 109.47
With the nearest neighbours (Å) after each atom.
Atoms (fractional coordinates):
Nd 0.0000 0.0000 0.0000  6 Ho 3.12
Nd 0.0000 0.0000 0.5000  6 Ho 3.12
Nd 0.0000 0.5000 0.0000  6 Ho 3.12
Nd 0.0000 0.5000 0.5000  6 Ho 3.12
Nd 0.1250 0.7500 0.8750  4 Ho 3.20
Nd 0.1250 0.8750 0.2500  4 Ho 3.20
Nd 0.2500 0.1250 0.8750  4 Ho 3.20
Nd 0.2500 0.6250 0.3750  4 Ho 3.20
Nd 0.3750 0.2500 0.6250  4 Ho 3.20
Nd 0.3750 0.6250 0.7500  4 Ho 3.20
Nd 0.5000 0.0000 0.0000  6 Ho 3.12
Nd 0.5000 0.0000 0.5000  6 Ho 3.12
Nd 0.5000 0.5000 0.0000  6 Ho 3.12
Nd 0.5000 0.5000 0.5000  6 Ho 3.12
Nd 0.6250 0.3750 0.2500  4 Ho 3.20
Nd 0.6250 0.7500 0.3750  4 Ho 3.20
Nd 0.7500 0.3750 0.6250  4 Ho 3.20
Nd 0.7500 0.8750 0.1250  4 Ho 3.20
Nd 0.8750 0.1250 0.7500  4 Ho 3.20
Nd 0.8750 0.2500 0.1250  4 Ho 3.20
Ho 0.0668 0.6449 0.4112  2 Hg 3.05-3.34, 1 Ho 3.08, 2 Nd 3.12-3.20
Ho 0.0668 0.9219 0.6556  2 Hg 3.05-3.34, 1 Ho 3.08, 2 Nd 3.12-3.20
Ho 0.0781 0.2337 0.1449  2 Hg 3.05-3.34, 1 Ho 3.08, 2 Nd 3.12-3.20
Ho 0.0781 0.3444 0.9332  2 Hg 3.05-3.34, 1 Ho 3.08, 2 Nd 3.12-3.20
Ho 0.0888 0.7337 0.6556  2 Hg 3.05-3.34, 1 Ho 3.08, 2 Nd 3.12-3.20
Ho 0.0888 0.8551 0.4332  2 Hg 3.05-3.34, 1 Ho 3.08, 2 Nd 3.12-3.20
Ho 0.1449 0.0781 0.2337  2 Hg 3.05-3.34, 1 Ho 3.08, 2 Nd 3.12-3.20
Ho 0.1449 0.5668 0.9112  2 Hg 3.05-3.34, 1 Ho 3.08, 2 Nd 3.12-3.20
Ho 0.1556 0.2337 0.5888  2 Hg 3.05-3.34, 1 Ho 3.08, 2 Nd 3.12-3.20
Ho 0.1556 0.4219 0.5668  2 Hg 3.05-3.34, 1 Ho 3.08, 2 Nd 3.12-3.20
Ho 0.2337 0.1449 0.0781  2 Hg 3.05-3.34, 1 Ho 3.08, 2 Nd 3.12-3.20
Ho 0.2337 0.5888 0.1556  2 Hg 3.05-3.34, 1 Ho 3.08, 2 Nd 3.12-3.20
Ho 0.2663 0.3444 0.9112  2 Hg 3.05-3.34, 1 Ho 3.08, 2 Nd 3.12-3.20
Ho 0.2663 0.4219 0.3551  2 Hg 3.05-3.34, 1 Ho 3.08, 2 Nd 3.12-3.20
Ho 0.3444 0.9112 0.2663  2 Hg 3.05-3.34, 1 Ho 3.08, 2 Nd 3.12-3.20
Ho 0.3444 0.9332 0.0781  2 Hg 3.05-3.34, 1 Ho 3.08, 2 Nd 3.12-3.20
Ho 0.3551 0.2663 0.4219  2 Hg 3.05-3.34, 1 Ho 3.08, 2 Nd 3.12-3.20
Ho 0.3551 0.5888 0.9332  2 Hg 3.05-3.34, 1 Ho 3.08, 2 Nd 3.12-3.20
Ho 0.4112 0.0668 0.6449  2 Hg 3.05-3.34, 1 Ho 3.08, 2 Nd 3.12-3.20
Ho 0.4112 0.8444 0.7663  2 Hg 3.05-3.34, 1 Ho 3.08, 2 Nd 3.12-3.20
Ho 0.4219 0.3551 0.2663  2 Hg 3.05-3.34, 1 Ho 3.08, 2 Nd 3.12-3.20
Ho 0.4219 0.5668 0.1556  2 Hg 3.05-3.34, 1 Ho 3.08, 2 Nd 3.12-3.20
Ho 0.4332 0.0888 0.8551  2 Hg 3.05-3.34, 1 Ho 3.08, 2 Nd 3.12-3.20
Ho 0.4332 0.8444 0.5781  2 Hg 3.05-3.34, 1 Ho 3.08, 2 Nd 3.12-3.20
Ho 0.5668 0.1556 0.4219  2 Hg 3.05-3.34, 1 Ho 3.08, 2 Nd 3.12-3.20
Ho 0.5668 0.9112 0.1449  2 Hg 3.05-3.34, 1 Ho 3.08, 2 Nd 3.12-3.20
Ho 0.5781 0.4332 0.8444  2 Hg 3.05-3.34, 1 Ho 3.08, 2 Nd 3.12-3.20
Ho 0.5781 0.6449 0.7337  2 Hg 3.05-3.34, 1 Ho 3.08, 2 Nd 3.12-3.20
Ho 0.5888 0.1556 0.2337  2 Hg 3.05-3.34, 1 Ho 3.08, 2 Nd 3.12-3.20
Ho 0.5888 0.9332 0.3551  2 Hg 3.05-3.34, 1 Ho 3.08, 2 Nd 3.12-3.20
Ho 0.6449 0.4112 0.0668  2 Hg 3.05-3.34, 1 Ho 3.08, 2 Nd 3.12-3.20
Ho 0.6449 0.7337 0.5781  2 Hg 3.05-3.34, 1 Ho 3.08, 2 Nd 3.12-3.20
Ho 0.6556 0.0668 0.9219  2 Hg 3.05-3.34, 1 Ho 3.08, 2 Nd 3.12-3.20
Ho 0.6556 0.0888 0.7337  2 Hg 3.05-3.34, 1 Ho 3.08, 2 Nd 3.12-3.20
Ho 0.7337 0.5781 0.6449  2 Hg 3.05-3.34, 1 Ho 3.08, 2 Nd 3.12-3.20
Ho 0.7337 0.6556 0.0888  2 Hg 3.05-3.34, 1 Ho 3.08, 2 Nd 3.12-3.20
Ho 0.7663 0.4112 0.8444  2 Hg 3.05-3.34, 1 Ho 3.08, 2 Nd 3.12-3.20
Ho 0.7663 0.8551 0.9219  2 Hg 3.05-3.34, 1 Ho 3.08, 2 Nd 3.12-3.20
Ho 0.8444 0.5781 0.4332  2 Hg 3.05-3.34, 1 Ho 3.08, 2 Nd 3.12-3.20
Ho 0.8444 0.7663 0.4112  2 Hg 3.05-3.34, 1 Ho 3.08, 2 Nd 3.12-3.20
Ho 0.8551 0.4332 0.0888  2 Hg 3.05-3.34, 1 Ho 3.08, 2 Nd 3.12-3.20
Ho 0.8551 0.9219 0.7663  2 Hg 3.05-3.34, 1 Ho 3.08, 2 Nd 3.12-3.20
Ho 0.9112 0.1449 0.5668  2 Hg 3.05-3.34, 1 Ho 3.08, 2 Nd 3.12-3.20
Ho 0.9112 0.2663 0.3444  2 Hg 3.05-3.34, 1 Ho 3.08, 2 Nd 3.12-3.20
Ho 0.9219 0.6556 0.0668  2 Hg 3.05-3.34, 1 Ho 3.08, 2 Nd 3.12-3.20
Ho 0.9219 0.7663 0.8551  2 Hg 3.05-3.34, 1 Ho 3.08, 2 Nd 3.12-3.20
Ho 0.9332 0.0781 0.3444  2 Hg 3.05-3.34, 1 Ho 3.08, 2 Nd 3.12-3.20
Ho 0.9332 0.3551 0.5888  2 Hg 3.05-3.34, 1 Ho 3.08, 2 Nd 3.12-3.20
Hg 0.1250 0.2500 0.3750  8 Ho 3.05-3.34
Hg 0.1250 0.3750 0.7500  8 Ho 3.05-3.34
Hg 0.2500 0.3750 0.1250  8 Ho 3.05-3.34
Hg 0.2500 0.8750 0.6250  8 Ho 3.05-3.34
Hg 0.3750 0.1250 0.2500  8 Ho 3.05-3.34
Hg 0.3750 0.7500 0.1250  8 Ho 3.05-3.34
Hg 0.6250 0.2500 0.8750  8 Ho 3.05-3.34
Hg 0.6250 0.8750 0.7500  8 Ho 3.05-3.34
Hg 0.7500 0.1250 0.3750  8 Ho 3.05-3.34
Hg 0.7500 0.6250 0.8750  8 Ho 3.05-3.34
Hg 0.8750 0.6250 0.2500  8 Ho 3.05-3.34
Hg 0.8750 0.7500 0.6250  8 Ho 3.05-3.34

Results
ΔE_f: 0.774 eV/atom
Theoretical density: 7.4 g/cm3
V: 2973.1 Å³ per cell
VASP energy: -64.19 eV per formula unit
Magnetization: 0.0 μB per cell

# 2
A relaxed structure of Nd4Ho5Hg. Source: Alexandria, functional PBE.

a b c (Å): 3.6167 3.6167 24.1551
angles (deg): 90.00 90.00 90.00
With the nearest neighbours (Å) after each atom.
Atoms (fractional coordinates):
Nd 0.0000 0.0000 0.1046  8 Ho 3.60-3.61, 4 Nd 3.62
Nd 0.0000 0.0000 0.3144  8 Ho 3.59-3.60, 4 Nd 3.62
Nd 0.0000 0.0000 0.6856  8 Ho 3.59-3.60, 4 Nd 3.62
Nd 0.0000 0.0000 0.8954  8 Ho 3.60-3.61, 4 Nd 3.62
Ho 0.5000 0.5000 0.0000  8 Nd 3.60, 4 Ho 3.62
Ho 0.5000 0.5000 0.2098  8 Nd 3.59-3.61, 4 Ho 3.62
Ho 0.5000 0.5000 0.4193  4 Hg 3.22, 4 Nd 3.60
Ho 0.5000 0.5000 0.5807  4 Hg 3.22, 4 Nd 3.60
Ho 0.5000 0.5000 0.7902  8 Nd 3.59-3.61, 4 Ho 3.62
Hg 0.0000 0.0000 0.5000  8 Ho 3.22

Results
ΔE_f: -0.082 eV/atom
Theoretical density: 8.4 g/cm3
V: 316.0 Å³ per cell
VASP energy: -43.08 eV per formula unit
Magnetization: 0.0 μB per cell

- What is the theoretical density in the first record?
  7.4 g/cm3

- Which value of V does entry 2 give?
  316.0 Å³ per cell

- Which of these has the lowest ΔE_f?
  Nd4Ho5Hg

- V of number 1 (Nd5Ho12Hg3)?
  2973.1 Å³ per cell